No. 1
Tb4YIn3 | GGA-PBE | optimized geometry

Density of states at the Fermi level   7.1 states/eV/f.u.
Energy   -4.506 eV per atom
Offset from the most stable computed form   0 meV per atom
M_tot   1.4 μB/f.u.
Formation enthalpy at 0 K   -0.36 eV per atom

Lattice parameters (Å, degrees): 4.923 4.923 9.206 90.00 90.00 90.00
Space group P4/mmm (No. 123)
Asymmetric unit:
1 Tb 0.000 0.500 0.236 x4
2 Y 0.000 0.000 0.500 x1
3 In 0.000 0.000 0.000 x1
4 In 0.500 0.500 0.000 x1
5 In 0.500 0.500 0.500 x1


No. 2
Sm2Zn3CdGa4 | GGA-PBE | optimized geometry

Density of states at the Fermi level   2.0 states/eV/f.u.
Energy   -3.057 eV per atom
M_tot   0.0 μB/f.u.
Formation enthalpy at 0 K   -0.43 eV per atom

Lattice parameters (Å, degrees): 4.266 4.266 10.807 90.00 90.00 90.00
Space group P-4m2 (No. 115)
Asymmetric unit:
1 Sm 0.000 0.500 0.243 x2
2 Zn 0.000 0.500 0.868 x2
3 Zn 0.500 0.500 0.500 x1
4 Cd 0.000 0.000 0.500 x1
5 Ga 0.000 0.000 0.000 x1
6 Ga 0.000 0.500 0.646 x2
7 Ga 0.500 0.500 0.000 x1